First-principles (PBE with a Hubbard U) data for a relaxed HoMnSeO2 crystal, as listed in the Alexandria database.

Unit cell a=3.8098 b=3.8098 c=6.5943 alpha=106.79 beta=106.79 gamma=90.00
Each line ends with the local moment (μB).
Positions (direct):
O (0.7593, 0.2593, 0.5187)  -0.06
O (0.2593, 0.7593, 0.5187)  -0.06
Mn (0.8004, 0.8004, 0.6007)  4.14
Ho (0.1526, 0.1526, 0.3052)  0.01
Se (0.5284, 0.5284, 0.0567)  -0.11

Density of states at the Fermi level (states/eV per cell): 2.21
Total magnetization (μB/f.u.): 4.03
VASP energy (eV per formula unit): -35.5
Space group: I4mm